Record 1
# Li3Mg5H12

A geometry-optimized Li3Mg5H12 structure (GGA-PBE, Alexandria via LeMat-Bulk).

Cell: 10.2963 10.2963 10.2963 Å, 109.47 109.47 109.47°
Atoms (fractional coordinates):
Li  0.1250  0.2500  0.3750
Li  0.1250  0.3750  0.7500
Li  0.2500  0.3750  0.1250
Li  0.2500  0.8750  0.6250
Li  0.3750  0.1250  0.2500
Li  0.3750  0.7500  0.1250
Li  0.6250  0.2500  0.8750
Li  0.6250  0.8750  0.7500
Li  0.7500  0.1250  0.3750
Li  0.7500  0.6250  0.8750
Li  0.8750  0.6250  0.2500
Li  0.8750  0.7500  0.6250
Mg  0.0000  0.0000  0.0000
Mg  0.0000  0.0000  0.5000
Mg  0.0000  0.5000  0.0000
Mg  0.0000  0.5000  0.5000
Mg  0.1250  0.7500  0.8750
Mg  0.1250  0.8750  0.2500
Mg  0.2500  0.1250  0.8750
Mg  0.2500  0.6250  0.3750
Mg  0.3750  0.2500  0.6250
Mg  0.3750  0.6250  0.7500
Mg  0.5000  0.0000  0.0000
Mg  0.5000  0.0000  0.5000
Mg  0.5000  0.5000  0.0000
Mg  0.5000  0.5000  0.5000
Mg  0.6250  0.3750  0.2500
Mg  0.6250  0.7500  0.3750
Mg  0.7500  0.3750  0.6250
Mg  0.7500  0.8750  0.1250
Mg  0.8750  0.1250  0.7500
Mg  0.8750  0.2500  0.1250
H  0.0377  0.2110  0.1289
H  0.0377  0.3267  0.9088
H  0.0821  0.7110  0.6733
H  0.0821  0.8711  0.4088
H  0.0912  0.6289  0.4179
H  0.0912  0.9623  0.6733
H  0.1289  0.0377  0.2110
H  0.1289  0.5912  0.9179
H  0.1733  0.2110  0.5821
H  0.1733  0.4623  0.5912
H  0.2110  0.1289  0.0377
H  0.2110  0.5821  0.1733
H  0.2890  0.3267  0.9179
H  0.2890  0.4623  0.3711
H  0.3267  0.9088  0.0377
H  0.3267  0.9179  0.2890
H  0.3711  0.2890  0.4623
H  0.3711  0.5821  0.9088
H  0.4088  0.0821  0.8711
H  0.4088  0.8267  0.5377
H  0.4179  0.0912  0.6289
H  0.4179  0.8267  0.7890
H  0.4623  0.3711  0.2890
H  0.4623  0.5912  0.1733
H  0.5377  0.4088  0.8267
H  0.5377  0.6289  0.7110
H  0.5821  0.1733  0.2110
H  0.5821  0.9088  0.3711
H  0.5912  0.1733  0.4623
H  0.5912  0.9179  0.1289
H  0.6289  0.4179  0.0912
H  0.6289  0.7110  0.5377
H  0.6733  0.0821  0.7110
H  0.6733  0.0912  0.9623
H  0.7110  0.5377  0.6289
H  0.7110  0.6733  0.0821
H  0.7890  0.4179  0.8267
H  0.7890  0.8711  0.9623
H  0.8267  0.5377  0.4088
H  0.8267  0.7890  0.4179
H  0.8711  0.4088  0.0821
H  0.8711  0.9623  0.7890
H  0.9088  0.0377  0.3267
H  0.9088  0.3711  0.5821
H  0.9179  0.1289  0.5912
H  0.9179  0.2890  0.3267
H  0.9623  0.6733  0.0912
H  0.9623  0.7890  0.8711

## Properties
symmetry = Ia-3d
E_tot = -226.4 eV for the cell shown
total magnetic moment = 0.0000 μB/atom
calculated volume = 10.50 Å³ per atom

***

Record 2
# LiMg2H4

A geometry-optimized LiMg2H4 structure (GGA-PBE, Alexandria via LeMat-Bulk).

Cell: 5.3983 5.3983 5.3970 Å, 118.46 118.46 31.46°
Atoms (fractional coordinates):
Li  0.0000  0.0000  0.0000
Mg  0.3125  0.3125  0.3027
Mg  0.6875  0.6875  0.6973
H  0.1432  0.1432  0.8966
H  0.3449  0.3449  0.7071
H  0.6551  0.6551  0.2929
H  0.8568  0.8568  0.1034

## Properties
symmetry = C2/m
total magnetic moment = 0.0000 μB/atom
calculated volume = 10.19 Å³ per atom
energy above the lowest structure with this stoichiometry = 0.0 kJ/mol of atoms

***

Record 3
# LiMgH

A geometry-optimized LiMgH structure (GGA-PBE, Alexandria via LeMat-Bulk).

Cell: 3.0703 3.0747 10.3160 Å, 90.02 90.00 119.85°
Atoms (fractional coordinates):
Li  0.0000  0.0000  0.0000
Li  0.3306  0.6630  0.7781
Mg  0.3318  0.6603  0.2656
Mg  0.9952  0.0017  0.5224
H  0.6664  0.3342  0.9234
H  0.9973  0.9979  0.7142

## Properties
symmetry = P1
total magnetic moment = 0.0000 μB/atom
calculated volume = 14.08 Å³ per atom
energy above the lowest structure with this stoichiometry = 2.4 kJ/mol of atoms

***

Record 4
# Li6Mg2H

A geometry-optimized Li6Mg2H structure (GGA-PBE, Alexandria via LeMat-Bulk).

Cell: 5.9956 5.9956 5.9956 Å, 118.48 118.48 92.66°
Atoms (fractional coordinates):
Li  0.2399  0.2399  0.4798
Li  0.2399  0.7601  0.0000
Li  0.2432  0.2432  0.0000
Li  0.7568  0.7568  0.0000
Li  0.7601  0.2399  0.0000
Li  0.7601  0.7601  0.5202
Mg  0.2500  0.7500  0.5000
Mg  0.7500  0.2500  0.5000
H  0.0000  0.0000  0.0000

## Properties
symmetry = I4/mmm
E_tot = -18.7 eV for the cell shown
total magnetic moment = 0.0000 μB/atom
calculated volume = 17.30 Å³ per atom

***

Record 5
# Li2Mg3H8

A geometry-optimized Li2Mg3H8 structure (GGA-PBE, Alexandria via LeMat-Bulk).

Cell: 6.3512 6.3512 8.1130 Å, 90.00 90.00 124.29°
Atoms (fractional coordinates):
Li  0.1170  0.8830  0.8905
Li  0.3830  0.6170  0.3905
Li  0.6170  0.3830  0.6095
Li  0.8830  0.1170  0.1095
Mg  0.0000  0.0000  0.5000
Mg  0.1024  0.3976  0.7500
Mg  0.3976  0.1024  0.2500
Mg  0.5000  0.5000  0.0000
Mg  0.6024  0.8976  0.7500
Mg  0.8976  0.6024  0.2500
H  0.0181  0.9819  0.2581
H  0.1225  0.3574  0.5169
H  0.1426  0.3775  0.9831
H  0.2475  0.7525  0.7531
H  0.2525  0.7475  0.2531
H  0.3574  0.1225  0.4831
H  0.3775  0.1426  0.0169
H  0.4819  0.5181  0.7581
H  0.5181  0.4819  0.2419
H  0.6225  0.8574  0.9831
H  0.6426  0.8775  0.5169
H  0.7475  0.2525  0.7469
H  0.7525  0.2475  0.2469
H  0.8574  0.6225  0.0169
H  0.8775  0.6426  0.4831
H  0.9819  0.0181  0.7419

## Properties
symmetry = Cmce
E_tot = -77.0 eV for the cell shown
total magnetic moment = 0.0000 μB/atom
calculated volume = 10.40 Å³ per atom

***

Record 6
# Li3MgH4

A geometry-optimized Li3MgH4 structure (GGA-PBE, Alexandria via LeMat-Bulk).

Cell: 3.8814 7.0799 5.8036 Å, 90.00 90.00 90.00°
Atoms (fractional coordinates):
Li  0.2500  0.0164  0.1598
Li  0.2500  0.4836  0.1598
Li  0.2500  0.7500  0.6832
Li  0.7500  0.2500  0.3168
Li  0.7500  0.5164  0.8402
Li  0.7500  0.9836  0.8402
Mg  0.2500  0.2500  0.6819
Mg  0.7500  0.7500  0.3181
H  0.2500  0.0000  0.8216
H  0.2500  0.2500  0.3441
H  0.2500  0.5000  0.8216
H  0.2500  0.7500  0.3380
H  0.7500  0.0000  0.1784
H  0.7500  0.2500  0.6620
H  0.7500  0.5000  0.1784
H  0.7500  0.7500  0.6559

## Properties
symmetry = Pmmn
E_tot = -45.1 eV for the cell shown
total magnetic moment = 0.0000 μB/atom
calculated volume = 9.97 Å³ per atom

***

Record 7
# LiMg2H

A geometry-optimized LiMg2H structure (GGA-PBE, Alexandria via LeMat-Bulk).

Cell: 5.6733 5.6733 5.6733 Å, 112.41 112.41 103.74°
Atoms (fractional coordinates):
Li  0.0000  0.0000  0.0000
Li  0.7500  0.2500  0.5000
Mg  0.2383  0.6250  0.1133
Mg  0.3750  0.4883  0.6133
Mg  0.5117  0.1250  0.8867
Mg  0.8750  0.7617  0.3867
H  0.2500  0.7500  0.5000
H  0.5000  0.5000  0.0000

## Properties
symmetry = I-42d
total magnetic moment = 0.0000 μB/atom
calculated volume = 17.44 Å³ per atom
energy above the lowest structure with this stoichiometry = 0.0 kJ/mol of atoms

***

Record 8
# Li4MgH3N3

A geometry-optimized Li4MgH3N3 structure (GGA-PBE, Alexandria via LeMat-Bulk).

Cell: 6.1415 6.1415 6.1415 Å, 145.06 58.81 134.28°
Atoms (fractional coordinates):
Li  0.1726  0.0000  0.1726
Li  0.3217  0.5019  0.8197
Li  0.6822  0.5019  0.1803
Li  0.8274  0.0000  0.8274
Mg  0.9732  0.4732  0.5000
H  0.3011  0.9070  0.3941
H  0.5129  0.9070  0.6059
H  0.5539  0.5539  0.0000
N  0.0708  0.7371  0.3337
N  0.4034  0.7371  0.6663
N  0.7698  0.7698  0.0000

## Properties
symmetry = Imm2
E_tot = -50.5 eV for the cell shown
total magnetic moment = 0.0000 μB/atom
calculated volume = 8.56 Å³ per atom